Record 1
{"formula": "TaCrTe2", "functional": "PBE", "state": "relaxed", "lattice_angstrom": [[3.319, 0.000, 0.000], [0.000, 3.319, 0.000], [0.000, 0.000, 8.068]], "species": ["Ta", "Cr", "Te", "Te"], "fractional_positions": [[0.000, 0.000, 0.000], [0.500, 0.500, 0.824], [0.000, 0.000, 0.639], [0.500, 0.500, 0.213]], "relative_energy_mev_per_atom": 182, "dft_energy_ev_per_cell": -27.43, "e_form_raw_ev_per_atom": 0.081, "sg": "P4mm (99)"}

---

Record 2
{"formula": "TaCrTe2", "functional": "PBE", "state": "relaxed", "lattice_angstrom": [[0.000, 3.346, 3.346], [3.346, 0.000, 3.346], [3.346, 3.346, 0.000]], "species": ["Ta", "Cr", "Te", "Te"], "fractional_positions": [[0.000, 0.000, 0.000], [0.500, 0.500, 0.500], [0.250, 0.250, 0.250], [0.750, 0.750, 0.750]], "relative_energy_mev_per_atom": 512, "dft_energy_ev_per_cell": -26.11, "e_form_raw_ev_per_atom": 0.411, "sg": "Fm-3m (225)"}

---

Record 3
{"formula": "Ta2CrTe", "functional": "PBE", "state": "relaxed", "lattice_angstrom": [[2.050, -2.369, 0.000], [2.050, 2.369, 0.000], [0.000, 0.000, 7.529]], "species": ["Ta", "Ta", "Cr", "Te"], "fractional_positions": [[0.000, 0.000, 0.203], [0.000, 0.000, 0.797], [0.500, 0.500, 0.000], [0.500, 0.500, 0.500]], "dft_energy_ev_per_cell": -35.27, "e_form_raw_ev_per_atom": 0.299, "sg": "Cmmm (65)"}

---

Record 4
{"formula": "Ta2CrTe", "functional": "PBE", "state": "relaxed", "lattice_angstrom": [[0.000, 3.256, 3.256], [3.256, 0.000, 3.256], [3.256, 3.256, 0.000]], "species": ["Ta", "Ta", "Cr", "Te"], "fractional_positions": [[0.000, 0.000, 0.000], [0.250, 0.250, 0.250], [0.500, 0.500, 0.500], [0.750, 0.750, 0.750]], "dft_energy_ev_per_cell": -34.54, "e_form_raw_ev_per_atom": 0.482, "sg": "F-43m (216)"}

---

Record 5
{"formula": "Ta2CrTe", "functional": "PBE", "state": "relaxed", "lattice_angstrom": [[3.180, 0.000, 0.000], [0.000, 4.471, 0.000], [-1.386, 0.000, 5.067]], "species": ["Ta", "Ta", "Cr", "Te"], "fractional_positions": [[0.000, 0.000, 0.000], [0.260, 0.500, 0.731], [0.547, 0.000, 0.550], [0.565, 0.500, 0.272]], "dft_energy_ev_per_cell": -35.26, "e_form_raw_ev_per_atom": 0.303, "sg": "Pm (6)"}

---

Record 6
{"formula": "Ta3CrTe", "functional": "PBE", "state": "relaxed", "lattice_angstrom": [[4.692, 0.000, 0.000], [0.000, 4.692, 0.000], [0.000, 0.000, 4.692]], "species": ["Ta", "Ta", "Ta", "Cr", "Te"], "fractional_positions": [[0.000, 0.000, 0.500], [0.000, 0.500, 0.000], [0.500, 0.000, 0.000], [0.000, 0.000, 0.000], [0.500, 0.500, 0.500]], "relative_energy_mev_per_atom": 0, "dft_energy_ev_per_cell": -43.76, "e_form_raw_ev_per_atom": 0.913, "sg": "Pm-3m (221)"}

---

Record 7
{"formula": "TaCrTe", "functional": "PBE", "state": "relaxed", "lattice_angstrom": [[1.814, 1.047, 11.674], [-1.814, 1.047, 11.674], [0.000, -2.095, 11.674]], "species": ["Ta", "Ta", "Cr", "Cr", "Te", "Te"], "fractional_positions": [[0.054, 0.054, 0.054], [0.946, 0.946, 0.946], [0.340, 0.340, 0.340], [0.660, 0.660, 0.660], [0.223, 0.223, 0.223], [0.777, 0.777, 0.777]], "relative_energy_mev_per_atom": 0, "dft_energy_ev_per_cell": -48.87, "e_form_raw_ev_per_atom": 0.061, "sg": "R-3m (166)"}

---

Record 8
{"formula": "Ta2CrTe", "functional": "PBE", "state": "relaxed", "lattice_angstrom": [[3.485, 0.000, 0.000], [0.000, 4.497, 0.000], [0.000, 0.000, 4.507]], "species": ["Ta", "Ta", "Cr", "Te"], "fractional_positions": [[0.000, 0.000, 0.000], [0.500, 0.000, 0.500], [0.000, 0.500, 0.500], [0.500, 0.500, 0.000]], "dft_energy_ev_per_cell": -35.42, "e_form_raw_ev_per_atom": 0.262, "sg": "Pmmm (47)"}